! SbRuRh PBE-GGA optimized geometry; values from VASP
! Volume (Å³/f.u.): 50.06
! Mass density (g cm⁻³): 10.8
! Energy relative to the lowest polymorph listed for this composition (eV/atom): 0.140
&SYSTEM
  ibrav = 0, nat = 3, ntyp = 3
/
ATOMIC_SPECIES
Sb 121.76 Sb.upf
Ru 101.07 Ru.upf
Rh 102.91 Rh.upf
ATOMIC_POSITIONS crystal
Sb 0.000 0.000 0.000
Ru 0.333 0.667 0.725
Rh 0.667 0.333 0.249
CELL_PARAMETERS angstrom
4.362 0.000 0.000
-2.181 3.778 0.000
0.000 0.000 3.037

=====

! VCoAs2 PBE-GGA optimized geometry; values from VASP
! Volume (Å³/f.u.): 61.67
! Mass density (g cm⁻³): 7.0
! Energy relative to the lowest polymorph listed for this composition (eV/atom): 0.007
! Energy of formation from the pure elements (eV/f.u.): -0.11
&SYSTEM
  ibrav = 0, nat = 12, ntyp = 3
/
ATOMIC_SPECIES
V 50.94 V.upf
Co 58.93 Co.upf
As 74.92 As.upf
ATOMIC_POSITIONS crystal
V 0.000 0.000 0.000
V 0.333 0.667 0.667
V 0.667 0.333 0.333
Co 0.000 0.000 0.500
Co 0.333 0.667 0.167
Co 0.667 0.333 0.833
As 0.000 0.000 0.240
As 0.000 0.000 0.760
As 0.333 0.667 0.426
As 0.333 0.667 0.907
As 0.667 0.333 0.093
As 0.667 0.333 0.574
CELL_PARAMETERS angstrom
3.568 0.000 0.000
-1.784 3.090 0.000
0.000 0.000 16.779

=====

! HfMnPCl2 PBE-GGA optimized geometry; values from VASP
! Volume (Å³/f.u.): 101.00
! Mass density (g cm⁻³): 5.5
! Energy relative to the lowest polymorph listed for this composition (eV/atom): 0.376
&SYSTEM
  ibrav = 0, nat = 5, ntyp = 4
/
ATOMIC_SPECIES
Hf 178.49 Hf.upf
Mn 54.94 Mn.upf
P 30.97 P.upf
Cl 35.45 Cl.upf
ATOMIC_POSITIONS crystal
Hf 0.000 0.000 0.000
Mn 0.500 0.500 0.500
P 0.500 0.500 0.000
Cl 0.000 0.500 0.500
Cl 0.500 0.000 0.500
CELL_PARAMETERS angstrom
4.435 0.000 0.000
0.000 4.435 0.000
0.000 0.000 5.136